{"formula": "SrLaPt", "functional": "PBE", "state": "relaxed", "e_above_lowest_polymorph_ev_per_atom": 0.069, "delta_e_f_ev_per_atom": -0.7332, "crystal_system": "trigonal", "sg": "No. 156", "vol_a3_per_cell": 113.6, "lattice_angstrom": [[-3.798, 1.020, 1.795], [0.121, -1.786, -3.935], [-0.351, -6.389, 2.889]], "species": ["Sr", "Pt", "La"], "frac_coords": [[0.333, 0.667, 0.574], [0.667, 0.333, 0.314], [0.000, 0.000, 0.112]]}

***

{"formula": "SrLaPt", "functional": "PBE", "state": "relaxed", "e_above_lowest_polymorph_ev_per_atom": 0.115, "delta_e_f_ev_per_atom": -0.6876, "crystal_system": "tetragonal", "sg": "No. 107", "vol_a3_per_cell": 97.7, "lattice_angstrom": [[-5.932, 4.037, -1.922], [-5.568, 1.516, -4.677], [-2.928, -1.911, 1.361]], "species": ["La", "Pt", "Sr"], "frac_coords": [[0.951, 0.951, 0.049], [0.347, 0.347, 0.653], [0.702, 0.702, 0.298]]}

***

{"formula": "SrLaPt", "functional": "PBE", "state": "relaxed", "e_above_lowest_polymorph_ev_per_atom": 0.069, "delta_e_f_ev_per_atom": -0.7334, "crystal_system": "trigonal", "sg": "No. 164", "vol_a3_per_cell": 230.0, "lattice_angstrom": [[4.368, 0.000, 0.000], [-2.184, 3.783, 0.000], [0.000, 0.000, 13.923]], "species": ["Sr", "Sr", "La", "La", "Pt", "Pt"], "frac_coords": [[0.000, 0.000, 0.658], [0.000, 0.000, 0.342], [0.333, 0.667, 0.114], [0.667, 0.333, 0.886], [0.333, 0.667, 0.786], [0.667, 0.333, 0.214]]}

***

{"formula": "SrLa3Pt", "functional": "PBE", "state": "relaxed", "e_above_lowest_polymorph_ev_per_atom": 0.551, "delta_e_f_ev_per_atom": 0.1162, "crystal_system": "trigonal", "sg": "No. 160", "vol_a3_per_cell": 221.5, "lattice_angstrom": [[5.714, 0.000, 2.611], [-2.857, 4.948, 2.611], [-2.857, -4.948, 2.611]], "species": ["Sr", "Pt", "La", "La", "La"], "frac_coords": [[0.792, 0.792, 0.792], [0.423, 0.423, 0.423], [0.092, 0.476, 0.092], [0.476, 0.092, 0.092], [0.092, 0.092, 0.476]]}

***

{"formula": "SrLa3Pt", "functional": "PBE", "state": "relaxed", "e_above_lowest_polymorph_ev_per_atom": 0.024, "delta_e_f_ev_per_atom": -0.4111, "crystal_system": "triclinic", "sg": "No. 1", "vol_a3_per_cell": 355.2, "lattice_angstrom": [[6.819, 0.043, 0.026], [1.568, 7.357, -0.014], [-0.205, -0.044, 7.090]], "species": ["Sr", "Sr", "Pt", "Pt", "La", "La", "La", "La", "La", "La"], "frac_coords": [[0.355, 0.518, 0.806], [0.409, 0.007, 0.800], [0.166, 0.047, 0.203], [0.752, 0.647, 0.696], [0.885, 0.306, 0.931], [0.515, 0.210, 0.287], [0.001, 0.404, 0.420], [0.902, 0.812, 0.046], [0.474, 0.715, 0.328], [0.942, 0.921, 0.531]]}

***

{"formula": "SrLa2Pt2", "functional": "PBE", "state": "relaxed", "e_above_lowest_polymorph_ev_per_atom": 0.160, "delta_e_f_ev_per_atom": -0.7350, "crystal_system": "tetragonal", "sg": "No. 127", "vol_a3_per_cell": 266.3, "lattice_angstrom": [[-4.219, -0.011, -7.584], [6.834, -3.769, -3.797], [-1.340, -3.185, 0.750]], "species": ["Sr", "Sr", "Pt", "Pt", "Pt", "Pt", "La", "La", "La", "La"], "frac_coords": [[0.000, 0.000, 0.000], [0.500, 0.500, 0.000], [0.164, 0.664, 0.500], [0.664, 0.836, 0.500], [0.836, 0.336, 0.500], [0.336, 0.164, 0.500], [0.362, 0.862, 0.000], [0.862, 0.638, 0.000], [0.638, 0.138, 0.000], [0.138, 0.362, 0.000]]}

***

{"formula": "SrLa3Pt", "functional": "PBE", "state": "relaxed", "e_above_lowest_polymorph_ev_per_atom": 0.064, "delta_e_f_ev_per_atom": -0.3712, "crystal_system": "monoclinic", "sg": "No. 14", "vol_a3_per_cell": 728.0, "lattice_angstrom": [[24.687, 0.000, -1.487], [0.000, 7.230, 0.000], [-8.719, 0.000, 4.605]], "species": ["Sr", "Sr", "Sr", "Sr", "Pt", "Pt", "Pt", "Pt", "La", "La", "La", "La", "La", "La", "La", "La", "La", "La", "La", "La"], "frac_coords": [[0.431, 0.819, 0.456], [0.569, 0.181, 0.544], [0.069, 0.319, 0.044], [0.931, 0.681, 0.956], [0.087, 0.408, 0.509], [0.913, 0.592, 0.491], [0.413, 0.908, 0.991], [0.587, 0.092, 0.009], [0.189, 0.067, 0.630], [0.811, 0.933, 0.370], [0.311, 0.567, 0.870], [0.689, 0.433, 0.130], [0.299, 0.322, 0.231], [0.701, 0.678, 0.769], [0.201, 0.822, 0.269], [0.799, 0.178, 0.731], [0.557, 0.756, 0.105], [0.443, 0.244, 0.895], [0.943, 0.256, 0.395], [0.057, 0.744, 0.605]]}

***

{"formula": "SrLa3Pt", "functional": "PBE", "state": "relaxed", "e_above_lowest_polymorph_ev_per_atom": 0.031, "delta_e_f_ev_per_atom": -0.4037, "crystal_system": "monoclinic", "sg": "No. 14", "vol_a3_per_cell": 743.8, "lattice_angstrom": [[-17.854, 16.161, -17.169], [-4.714, -0.082, 4.826], [6.796, -1.735, 6.610]], "species": ["Sr", "Sr", "Sr", "Sr", "Pt", "Pt", "Pt", "Pt", "La", "La", "La", "La", "La", "La", "La", "La", "La", "La", "La", "La"], "frac_coords": [[0.186, 0.045, 0.951], [0.814, 0.955, 0.049], [0.314, 0.545, 0.549], [0.686, 0.455, 0.451], [0.609, 0.679, 0.929], [0.391, 0.321, 0.071], [0.891, 0.179, 0.571], [0.109, 0.821, 0.429], [0.359, 0.889, 0.088], [0.641, 0.111, 0.912], [0.141, 0.389, 0.412], [0.859, 0.611, 0.588], [0.403, 0.432, 0.389], [0.597, 0.568, 0.611], [0.097, 0.932, 0.111], [0.903, 0.068, 0.889], [0.534, 0.932, 0.934], [0.466, 0.068, 0.066], [0.966, 0.432, 0.566], [0.034, 0.568, 0.434]]}

***

Please write out number 1 again, unchanged.
{"formula": "SrLaPt", "functional": "PBE", "state": "relaxed", "e_above_lowest_polymorph_ev_per_atom": 0.069, "delta_e_f_ev_per_atom": -0.7332, "crystal_system": "trigonal", "sg": "No. 156", "vol_a3_per_cell": 113.6, "lattice_angstrom": [[-3.798, 1.020, 1.795], [0.121, -1.786, -3.935], [-0.351, -6.389, 2.889]], "species": ["Sr", "Pt", "La"], "frac_coords": [[0.333, 0.667, 0.574], [0.667, 0.333, 0.314], [0.000, 0.000, 0.112]]}